Here is a relaxed structure of Sr3BePd from the Alexandria database. Energies are from GGA-PBE.

Output
**Space-group type**: Pm-3m, No. 221
**Energy relative to the elements**: 207 meV per atom
**E above lowest polymorph**: 0.00 eV per formula unit

Lattice parameters (Å, degrees): 5.8425 5.8425 5.8425 90.00 90.00 90.00
Last column: nearest neighbours and their distance in Å.
Fractional coordinates of all 5 atoms:
Sr (0.0000, 0.5000, 0.0000)  2 Pd 2.92
Sr (0.0000, 0.0000, 0.5000)  2 Pd 2.92
Sr (0.5000, 0.0000, 0.0000)  2 Pd 2.92
Pd (0.0000, 0.0000, 0.0000)  6 Sr 2.92
Be (0.5000, 0.5000, 0.5000)  12 Sr 4.13